# 1
A geometry-optimized CoSi2Hg structure, computed with PBE.

Cell and atoms, written as POSCAR:
```
CoSi2Hg
1.0
6.302 0.000 0.000
0.000 6.302 0.000
0.000 0.000 6.302
Co Si Hg
4 8 4
Cartesian
0.000 0.000 0.000
0.000 3.151 3.151
3.151 0.000 3.151
3.151 3.151 0.000
0.000 0.000 3.151
0.000 3.151 0.000
1.575 1.575 1.575
1.575 4.726 4.726
3.151 0.000 0.000
3.151 3.151 3.151
4.726 1.575 4.726
4.726 4.726 1.575
1.575 1.575 4.726
1.575 4.726 1.575
4.726 1.575 1.575
4.726 4.726 4.726
```

- Electronic total energy: -62.13 eV for the cell shown
- Crystal system: cubic
- Total magnetic moment: 0.9 μB per formula unit


# 2
A geometry-optimized SrHfAsO structure, computed with PBE.

Cell and atoms, written as POSCAR:
```
SrHfAsO
1.0
4.225 0.000 0.000
0.000 4.225 0.000
0.000 0.000 8.543
Sr Hf As O
2 2 2 2
Cartesian
1.056 3.169 0.000
3.169 1.056 0.000
1.056 1.056 3.535
3.169 3.169 5.008
1.056 1.056 6.407
3.169 3.169 2.136
1.056 3.169 4.271
3.169 1.056 4.271
```

- Crystal system: tetragonal
- Total magnetic moment: 0.0 μB per formula unit
- Offset from the most stable computed form: 533 meV per atom


# 3
A geometry-optimized YTmSi structure, computed with PBE.

Cell and atoms, written as POSCAR:
```
YTmSi
1.0
6.801 0.000 0.000
0.000 6.801 0.000
0.000 0.000 6.801
Y Tm Si
4 4 4
Cartesian
0.000 0.000 0.000
0.000 3.400 3.400
3.400 0.000 3.400
3.400 3.400 0.000
0.000 0.000 3.400
0.000 3.400 0.000
3.400 0.000 0.000
3.400 3.400 3.400
1.700 1.700 5.101
1.700 5.101 1.700
5.101 1.700 1.700
5.101 5.101 5.101
```

- Crystal system: cubic
- Total magnetic moment: 0.0 μB per formula unit
- Offset from the most stable computed form: 0 meV per atom


# 4
A geometry-optimized DyGe2O4 structure, computed with PBE.

Cell and atoms, written as POSCAR:
```
DyGe2O4
1.0
0.000 4.629 4.629
4.629 0.000 4.629
4.629 4.629 0.000
Dy Ge O
2 4 8
Cartesian
1.157 1.157 1.157
8.101 8.101 8.101
4.629 2.315 2.315
2.315 4.629 2.315
2.315 2.315 4.629
4.629 4.629 4.629
2.402 2.402 2.402
4.541 4.541 2.402
4.541 2.402 4.541
6.856 4.717 4.717
2.402 4.541 4.541
4.717 6.856 4.717
4.717 4.717 6.856
6.856 6.856 6.856
```

- Electronic total energy: -90.40 eV for the cell shown
- Crystal system: cubic
- Total magnetic moment: 0.0 μB per formula unit


# 5
A geometry-optimized TbHoSi2W2C structure, computed with PBE.

Cell and atoms, written as POSCAR:
```
TbHoSi2W2C
1.0
11.091 0.000 0.000
0.000 3.837 0.000
-4.118 0.000 5.815
Tb Ho Si W C
2 2 4 4 2
Cartesian
0.000 0.000 0.000
5.546 1.919 0.000
-0.784 0.000 3.444
4.761 1.919 3.444
-1.654 1.919 5.569
2.300 0.000 3.691
3.892 0.000 5.569
7.846 1.919 3.691
1.564 1.919 2.215
3.199 0.000 1.241
7.110 0.000 2.215
8.745 1.919 1.241
-0.393 1.919 1.737
5.153 0.000 1.737
```

- Electronic total energy: -118.03 eV for the cell shown
- Crystal system: monoclinic
- Total magnetic moment: 0.0 μB per formula unit


# 6
A geometry-optimized GdY2Zn3AgAu2 structure, computed with PBE.

Cell and atoms, written as POSCAR:
```
GdY2Zn3AgAu2
1.0
3.845 0.000 0.000
0.000 6.554 3.782
0.000 -6.554 3.782
Gd Y Zn Ag Au
1 2 3 1 2
Cartesian
0.000 0.000 0.000
0.000 -2.659 4.604
0.000 2.659 4.604
1.923 -1.703 2.095
1.923 1.703 2.095
1.923 0.000 5.021
0.000 0.000 3.072
1.923 -4.365 3.068
1.923 4.365 3.068
```

- DFT formation energy: -582 meV/atom
- Crystal system: orthorhombic
- Total magnetic moment: 0.0 μB per formula unit


# 7
A geometry-optimized Sm2Dy2BI5 structure, computed with PBE.

Cell and atoms, written as POSCAR:
```
Sm2Dy2BI5
1.0
9.615 -2.051 0.000
9.615 2.051 0.000
-1.900 0.000 8.604
Sm Dy B I
2 2 1 5
Cartesian
-0.551 0.000 2.586
17.881 0.000 6.017
6.218 0.000 3.724
11.112 0.000 4.880
8.665 0.000 4.302
1.616 0.000 7.175
2.680 0.000 2.857
9.615 0.000 0.000
14.650 0.000 5.746
15.714 0.000 1.429
```

- Electronic total energy: -43.96 eV for the cell shown
- Crystal system: monoclinic
- Total magnetic moment: 0.0 μB per formula unit


# 8
A geometry-optimized Ag2B structure, computed with PBE.

Cell and atoms, written as POSCAR:
```
Ag2B
1.0
0.000 4.824 4.824
4.824 0.000 4.824
4.824 4.824 0.000
Ag B
4 2
Cartesian
0.000 0.000 0.000
2.412 2.412 0.000
2.412 0.000 2.412
0.000 2.412 2.412
1.206 1.206 1.206
8.442 8.442 8.442
```

- Crystal system: cubic
- Offset from the most stable computed form: 0 meV per atom


# 9
A geometry-optimized AlPOsO structure, computed with PBE.

Cell and atoms, written as POSCAR:
```
AlPOsO
1.0
2.947 0.000 0.000
0.000 7.248 0.000
0.000 0.000 5.283
Al P Os O
2 2 2 2
Cartesian
0.000 1.035 0.000
0.000 6.213 2.641
1.474 2.594 3.928
1.474 4.654 1.287
1.474 2.490 1.658
1.474 4.758 4.300
0.000 0.377 1.627
0.000 6.872 4.269
```

- Crystal system: orthorhombic
- Total magnetic moment: 0.0 μB per formula unit
- Offset from the most stable computed form: 657 meV per atom


# 10
A geometry-optimized CdGaFeNi structure, computed with PBE.

Cell and atoms, written as POSCAR:
```
CdGaFeNi
1.0
6.151 0.000 0.000
0.000 6.151 0.000
0.000 0.000 6.151
Cd Ga Fe Ni
4 4 4 4
Cartesian
0.000 0.000 0.000
0.000 3.075 3.075
3.075 0.000 3.075
3.075 3.075 0.000
1.538 1.538 1.538
1.538 4.613 4.613
4.613 1.538 4.613
4.613 4.613 1.538
0.000 0.000 3.075
0.000 3.075 0.000
3.075 0.000 0.000
3.075 3.075 3.075
1.538 1.538 4.613
1.538 4.613 1.538
4.613 1.538 1.538
4.613 4.613 4.613
```

- Crystal system: cubic
- Total magnetic moment: 2.9 μB per formula unit
- Offset from the most stable computed form: 69 meV per atom


# 11
A geometry-optimized Ho2TmIn3AgIr2 structure, computed with PBE.

Cell and atoms, written as POSCAR:
```
Ho2TmIn3AgIr2
1.0
3.805 0.000 0.000
0.000 6.661 3.855
0.000 -6.661 3.855
Ho Tm In Ag Ir
2 1 3 1 2
Cartesian
0.000 -3.913 3.855
0.000 3.913 3.855
0.000 0.000 2.938
1.902 0.000 0.487
1.902 -1.787 5.081
1.902 1.787 5.081
0.000 0.000 6.116
1.902 -2.210 2.268
1.902 2.210 2.268
```

- Electronic total energy: -47.89 eV for the cell shown
- Crystal system: orthorhombic
- Total magnetic moment: 0.0 μB per formula unit


# 12
A geometry-optimized Hf3ZnGa2NiIr2 structure, computed with PBE.

Cell and atoms, written as POSCAR:
```
Hf3ZnGa2NiIr2
1.0
3.255 0.000 0.000
0.000 6.283 3.628
0.000 -6.283 3.628
Hf Zn Ga Ni Ir
3 1 2 1 2
Cartesian
0.000 0.000 0.000
0.000 -2.448 4.328
0.000 2.448 4.328
1.628 0.000 4.782
1.628 -1.623 1.947
1.628 1.623 1.947
0.000 0.000 2.853
1.628 -4.169 2.898
1.628 4.169 2.898
```

- Electronic total energy: -67.13 eV for the cell shown
- Crystal system: orthorhombic
- Total magnetic moment: 0.0 μB per formula unit


# 13
A geometry-optimized ZrH4 structure, computed with PBE.

Cell and atoms, written as POSCAR:
```
ZrH4
1.0
0.000 2.844 6.383
1.684 0.000 6.383
1.684 2.844 0.000
Zr H
2 8
Cartesian
0.421 0.711 1.596
2.948 4.977 11.171
1.205 1.179 3.864
1.321 1.179 5.711
2.164 2.601 7.055
1.321 3.087 3.864
2.047 2.601 8.903
1.205 3.087 5.711
2.047 4.510 7.055
2.164 4.510 8.903
```

- Crystal system: orthorhombic
- Total magnetic moment: 0.0 μB per formula unit
- Offset from the most stable computed form: 267 meV per atom


# 14
A geometry-optimized ErNbI2O2 structure, computed with PBE.

Cell and atoms, written as POSCAR:
```
ErNbI2O2
1.0
3.792 0.000 0.000
0.000 3.792 0.000
0.000 0.000 9.187
Er Nb I O
1 1 2 2
Cartesian
0.000 0.000 0.000
1.896 1.896 7.011
0.000 0.000 5.255
1.896 1.896 1.907
0.000 1.896 8.058
1.896 0.000 8.058
```

- Electronic total energy: -38.81 eV for the cell shown
- Crystal system: tetragonal
- Total magnetic moment: 1.4 μB per formula unit


# 15
A geometry-optimized CsLaFe structure, computed with PBE.

Cell and atoms, written as POSCAR:
```
CsLaFe
1.0
7.299 0.000 0.000
0.000 7.299 0.000
0.000 0.000 7.299
Cs La Fe
4 4 4
Cartesian
0.000 0.000 0.000
0.000 3.649 3.649
3.649 0.000 3.649
3.649 3.649 0.000
1.825 1.825 1.825
1.825 5.474 5.474
5.474 1.825 5.474
5.474 5.474 1.825
1.825 1.825 5.474
1.825 5.474 1.825
5.474 1.825 1.825
5.474 5.474 5.474
```

- Crystal system: cubic
- Total magnetic moment: 2.9 μB per formula unit
- Offset from the most stable computed form: 580 meV per atom


# 16
A geometry-optimized CsBeNiTe3 structure, computed with PBE.

Cell and atoms, written as POSCAR:
```
CsBeNiTe3
1.0
1.989 -8.198 0.000
1.989 8.198 0.000
0.000 0.000 11.037
Cs Be Ni Te
2 2 2 6
Cartesian
1.989 4.158 8.278
1.989 -4.158 2.759
1.989 7.578 2.759
1.989 -7.578 8.278
1.989 0.000 0.000
1.989 0.000 5.519
1.989 6.568 0.506
1.989 6.568 5.012
1.989 0.765 2.759
1.989 -0.765 8.278
1.989 -6.568 6.025
1.989 -6.568 10.531
```

- Electronic total energy: -43.74 eV for the cell shown
- Crystal system: orthorhombic
- Total magnetic moment: 0.0 μB per formula unit


# 17
A geometry-optimized Sc3ZnC structure, computed with PBE.

Cell and atoms, written as POSCAR:
```
Sc3ZnC
1.0
4.503 0.000 0.000
0.000 4.503 0.000
0.000 0.000 4.503
Sc Zn C
3 1 1
Cartesian
0.000 0.000 2.252
0.000 2.252 0.000
2.252 0.000 0.000
2.252 2.252 2.252
0.000 0.000 0.000
```

- Crystal system: cubic
- Total magnetic moment: 1.0 μB per formula unit
- Offset from the most stable computed form: 14 meV per atom


# 18
A geometry-optimized TbInTe4Au3 structure, computed with PBE.

Cell and atoms, written as POSCAR:
```
TbInTe4Au3
1.0
6.693 0.000 0.000
0.000 6.693 0.000
0.000 0.000 6.693
Tb In Te Au
1 1 4 3
Cartesian
0.000 0.000 0.000
3.346 3.346 3.346
1.669 1.669 5.024
1.669 5.024 1.669
5.024 1.669 1.669
5.024 5.024 5.024
0.000 0.000 3.346
0.000 3.346 0.000
3.346 0.000 0.000
```

- Crystal system: cubic
- Total magnetic moment: 0.0 μB per formula unit
- Offset from the most stable computed form: 3 meV per atom


# 19
A geometry-optimized Cu2Ag3 structure, computed with PBE.

Cell and atoms, written as POSCAR:
```
Cu2Ag3
1.0
5.837 -1.424 0.000
5.837 1.424 0.000
-1.562 0.000 9.335
Cu Ag
4 6
Cartesian
0.394 0.000 1.431
1.841 0.000 7.156
8.270 0.000 2.179
9.717 0.000 7.904
1.087 0.000 4.049
4.105 0.000 0.441
4.568 0.000 3.202
5.543 0.000 6.133
6.006 0.000 8.893
9.024 0.000 5.286
```

- DFT formation energy: 84 meV/atom
- Crystal system: monoclinic
- Offset from the most stable computed form: 52 meV per atom


# 20
A geometry-optimized Cu15Sb structure, computed with PBE.

Cell and atoms, written as POSCAR:
```
Cu15Sb
1.0
5.103 0.000 0.000
0.000 3.598 0.000
-0.088 0.000 33.689
Cu Sb
30 2
Cartesian
0.605 0.900 8.286
0.635 0.900 0.627
0.630 0.900 3.163
0.621 0.900 5.712
0.570 0.900 26.687
0.561 0.900 29.231
0.555 0.900 31.780
1.886 2.699 9.486
1.910 2.699 1.897
1.902 2.699 4.419
1.893 2.699 6.971
1.846 2.699 25.411
1.840 2.699 27.982
1.834 2.699 30.525
1.827 2.699 33.057
3.189 0.900 0.631
3.181 0.900 3.164
3.176 0.900 5.707
3.170 0.900 8.278
3.122 0.900 26.718
3.113 0.900 29.270
3.106 0.900 31.791
3.129 0.900 24.203
4.461 2.699 1.909
4.454 2.699 4.458
4.446 2.699 7.001
4.395 2.699 27.977
4.385 2.699 30.526
4.380 2.699 33.062
4.410 2.699 25.402
0.580 0.900 23.754
4.435 2.699 9.935
```

- Crystal system: monoclinic
- Offset from the most stable computed form: 10 meV per atom


# 21
A geometry-optimized KLiTe3Mo structure, computed with PBE.

Cell and atoms, written as POSCAR:
```
KLiTe3Mo
1.0
2.068 -7.893 0.000
2.068 7.893 0.000
0.000 0.000 10.535
K Li Te Mo
2 2 6 2
Cartesian
2.068 4.093 7.901
2.068 -4.093 2.634
2.068 0.459 2.634
2.068 -0.459 7.901
2.068 6.704 2.634
2.068 1.877 0.408
2.068 1.877 4.859
2.068 -1.877 5.676
2.068 -1.877 10.127
2.068 -6.704 7.901
0.000 0.000 0.000
0.000 0.000 5.268
```

- Electronic total energy: -51.88 eV for the cell shown
- Crystal system: orthorhombic
- Total magnetic moment: 2.0 μB per formula unit


# 22
A geometry-optimized YCoGeAu structure, computed with PBE.

Cell and atoms, written as POSCAR:
```
YCoGeAu
1.0
6.638 0.000 0.000
0.000 6.638 0.000
0.000 0.000 6.638
Y Co Ge Au
4 4 4 4
Cartesian
0.000 0.000 0.000
0.000 3.319 3.319
3.319 0.000 3.319
3.319 3.319 0.000
1.659 1.659 4.978
1.659 4.978 1.659
4.978 1.659 1.659
4.978 4.978 4.978
0.000 0.000 3.319
0.000 3.319 0.000
3.319 0.000 0.000
3.319 3.319 3.319
1.659 1.659 1.659
1.659 4.978 4.978
4.978 1.659 4.978
4.978 4.978 1.659
```

- Crystal system: cubic
- Total magnetic moment: 1.3 μB per formula unit
- Offset from the most stable computed form: 31 meV per atom


# 23
A geometry-optimized TbZnO3 structure, computed with PBE.

Cell and atoms, written as POSCAR:
```
TbZnO3
1.0
2.769 1.599 4.198
-2.769 1.599 4.198
0.000 -3.197 4.198
Tb Zn O
2 2 6
Cartesian
0.000 0.000 3.148
0.000 0.000 9.445
0.000 0.000 0.000
0.000 0.000 6.297
-1.649 0.341 5.247
-1.120 -1.258 7.346
0.530 -1.599 5.247
-0.530 1.599 7.346
1.120 1.258 5.247
1.649 -0.341 7.346
```

- Electronic total energy: -62.70 eV for the cell shown
- Crystal system: trigonal
- Total magnetic moment: 0.0 μB per formula unit


# 24
A geometry-optimized GdMgPO structure, computed with PBE.

Cell and atoms, written as POSCAR:
```
GdMgPO
1.0
3.743 0.000 0.000
0.000 6.125 0.000
0.000 0.000 6.583
Gd Mg P O
2 2 2 2
Cartesian
0.000 0.277 0.000
0.000 5.848 3.292
1.871 2.339 2.269
1.871 3.786 5.561
1.871 1.367 4.763
1.871 4.758 1.471
0.000 1.573 1.829
0.000 4.552 5.121
```

- Electronic total energy: -48.08 eV for the cell shown
- Crystal system: orthorhombic
- Total magnetic moment: 0.0 μB per formula unit